P) DFT (PBE) results for a relaxed structure of Ag2PbI.

a = 4.980 Å, b = 5.450 Å, c = 9.851 Å
α = 76.76°, β = 88.06°, γ = 71.70°
Positions (direct):
Ag 0.115 0.324 0.414
Ag 0.371 0.751 0.412
Ag 0.629 0.249 0.588
Ag 0.885 0.676 0.586
Pb 0.267 0.913 0.695
Pb 0.733 0.087 0.305
I 0.216 0.656 0.144
I 0.784 0.344 0.856

Calculated values
The density comes out at 7.40 g cm⁻³. The total magnetic moment comes out at 0.000 μB per formula unit. For the density of states at the Fermi level, the calculation gives 2.04 states/eV per cell.



Q) DFT (PBE) results for a relaxed structure of Ag2PbI.

a = 4.024 Å, b = 6.265 Å, c = 9.452 Å
α = 103.54°, β = 102.26°, γ = 90.13°
Positions (direct):
Ag 0.001 0.236 0.003
Ag 0.424 0.433 0.847
Ag 0.576 0.567 0.153
Ag 0.999 0.764 0.997
Pb 0.396 0.908 0.790
Pb 0.604 0.092 0.210
I 0.190 0.705 0.381
I 0.810 0.295 0.619

Calculated values
The density comes out at 8.08 g cm⁻³. The total magnetic moment comes out at 0.000 μB per formula unit. For the density of states at the Fermi level, the calculation gives 2.75 states/eV per cell.



R) DFT (PBE) results for a relaxed structure of Ag2PbI.

a = 5.287 Å, b = 5.287 Å, c = 5.287 Å
α = 60.00°, β = 60.00°, γ = 60.00°
Positions (direct):
Ag 0.250 0.250 0.250
Ag 0.750 0.750 0.750
Pb 0.000 0.000 0.000
I 0.500 0.500 0.500

Calculated values
The density comes out at 8.74 g cm⁻³. The total magnetic moment comes out at 0.000 μB per formula unit. For the density of states at the Fermi level, the calculation gives 6.10 states/eV per cell.



Most stable structure among those shown: P).